{
  "formula": "CdSiAu2",
  "functional": "PBE-GGA",
  "state": "relaxed",
  "m_tot_mub_per_cell": 0.00,
  "raw_formation_energy_ev_per_fu": 0.44,
  "final_energy_ev_per_atom": -3.114,
  "rho_kg_m3": 11940,
  "de_polymorph_mev_per_atom": 106.5,
  "cell": [[5.482, 0.039, -0.023], [2.386, 4.936, 0.023], [-3.447, -3.259, 2.749]],
  "species": ["Au", "Au", "Cd", "Si"],
  "fractional_positions": [[0.021, 0.021, 0.000], [0.762, 0.262, 0.500], [0.489, 0.489, 0.000], [0.228, 0.728, 0.500]]
}

=====

{
  "formula": "PmPa2Pt3",
  "functional": "PBE-GGA",
  "state": "relaxed",
  "m_tot_mub_per_cell": 0.00,
  "formation_enthalpy_0k_ev_per_atom": -0.936,
  "final_energy_ev_per_atom": -7.913,
  "rho_kg_m3": 13576,
  "cell": [[7.111, 0.246, -1.112], [-2.611, 6.521, -1.586], [0.257, -0.585, 12.548]],
  "species": ["Pm", "Pm", "Pm", "Pm", "Pa", "Pa", "Pa", "Pa", "Pa", "Pa", "Pa", "Pa", "Pt", "Pt", "Pt", "Pt", "Pt", "Pt", "Pt", "Pt", "Pt", "Pt", "Pt", "Pt"],
  "fractional_positions": [[0.917, 0.918, 0.834], [0.333, 0.832, 0.666], [0.166, 0.667, 0.334], [0.084, 0.083, 0.166], [0.001, 0.503, 0.003], [0.416, 0.416, 0.832], [0.834, 0.334, 0.668], [0.249, 0.247, 0.497], [0.751, 0.753, 0.503], [0.666, 0.165, 0.332], [0.584, 0.585, 0.168], [0.499, 0.997, 0.997], [0.168, 0.655, 0.839], [0.670, 0.183, 0.837], [0.082, 0.095, 0.661], [0.580, 0.567, 0.663], [0.985, 0.485, 0.500], [0.514, 0.014, 0.500], [0.434, 0.421, 0.339], [0.904, 0.917, 0.337], [0.816, 0.329, 0.161], [0.346, 0.833, 0.163], [0.265, 0.265, 0.000], [0.736, 0.736, 0.000]]
}

=====

{
  "formula": "InP2S2",
  "functional": "PBE-GGA",
  "state": "relaxed",
  "m_tot_mub_per_cell": 0.26,
  "raw_formation_energy_ev_per_fu": 6.77,
  "final_energy_ev_per_atom": -3.008,
  "rho_kg_m3": 3203,
  "de_polymorph_mev_per_atom": 1289.6,
  "cell": [[5.096, 0.000, 0.000], [0.000, 5.096, 0.000], [0.000, 0.000, 4.809]],
  "species": ["P", "P", "S", "S", "In"],
  "fractional_positions": [[0.000, 0.500, 0.000], [0.500, 0.000, 0.000], [0.500, 0.500, 0.500], [0.000, 0.000, 0.500], [0.000, 0.000, 0.000]]
}

=====

{
  "formula": "SrLa14Tm",
  "functional": "PBE-GGA",
  "state": "relaxed",
  "m_tot_mub_per_cell": 0.00,
  "formation_enthalpy_0k_ev_per_atom": 0.037,
  "final_energy_ev_per_atom": -4.659,
  "rho_kg_m3": 6197,
  "cell": [[-6.416, -3.021, -2.412], [3.860, -5.262, -3.677], [-0.297, -6.165, 8.510]],
  "species": ["Sr", "La", "La", "La", "La", "La", "La", "La", "La", "La", "La", "La", "La", "La", "La", "Tm"],
  "fractional_positions": [[0.875, 0.875, 0.500], [0.875, 0.875, 0.000], [0.375, 0.375, 0.000], [0.875, 0.375, 0.500], [0.875, 0.375, 0.000], [0.375, 0.875, 0.500], [0.375, 0.875, 0.000], [0.615, 0.135, 0.246], [0.615, 0.135, 0.754], [0.135, 0.615, 0.246], [0.135, 0.615, 0.754], [0.615, 0.615, 0.246], [0.615, 0.615, 0.754], [0.135, 0.135, 0.246], [0.135, 0.135, 0.754], [0.375, 0.375, 0.500]]
}